This record from the Alexandria database describes crystalline BaInBi at its relaxed geometry. The functional is PBE. Values from VASP.

```
&SYSTEM
  ibrav = 0, nat = 12, ntyp = 3
/
ATOMIC_SPECIES
Ba 137.33 Ba.upf
In 114.82 In.upf
Bi 208.98 Bi.upf
CELL_PARAMETERS angstrom
16.360 0.000 0.000
0.000 4.717 0.000
0.000 0.000 6.078
ATOMIC_POSITIONS angstrom
Ba 2.444 1.179 0.883
Ba 5.736 3.538 3.922
Ba 10.624 1.179 2.156
Ba 13.916 3.538 5.195
In 0.155 1.179 4.414
In 8.025 3.538 1.374
In 8.335 1.179 4.704
In 16.206 3.538 1.665
Bi 2.183 3.538 3.812
Bi 5.997 1.179 0.773
Bi 10.363 3.538 5.305
Bi 14.177 1.179 2.266
```

ΔH_f (0 K) in eV/atom: -0.53
Volume in Å³/cell: 469.0
D(E_F) in states/eV per cell: 1.6
Total energy in eV per cell: -40.6

This record from the Alexandria database describes crystalline Ba3In5Bi6 at its relaxed geometry. The functional is PBE. Values from VASP.

```
&SYSTEM
  ibrav = 0, nat = 28, ntyp = 3
/
ATOMIC_SPECIES
Ba 137.33 Ba.upf
In 114.82 In.upf
Bi 208.98 Bi.upf
CELL_PARAMETERS angstrom
5.267 0.000 0.000
0.000 16.670 0.000
0.000 0.000 11.259
ATOMIC_POSITIONS angstrom
Ba 1.317 1.121 2.705
Ba 1.317 7.214 2.705
Ba 1.317 12.502 2.955
Ba 3.950 4.167 8.304
Ba 3.950 9.456 8.555
Ba 3.950 15.549 8.555
In 1.317 1.027 10.102
In 1.317 7.308 10.102
In 1.317 10.036 6.040
In 1.317 12.502 8.285
In 1.317 14.969 6.040
In 3.950 1.701 5.219
In 3.950 4.167 2.974
In 3.950 6.634 5.219
In 3.950 9.362 1.158
In 3.950 15.643 1.158
Bi 1.317 1.491 7.055
Bi 1.317 4.167 0.077
Bi 1.317 4.167 5.027
Bi 1.317 6.844 7.055
Bi 1.317 10.421 11.105
Bi 1.317 14.584 11.105
Bi 3.950 2.086 0.154
Bi 3.950 6.249 0.154
Bi 3.950 9.826 4.204
Bi 3.950 12.502 6.233
Bi 3.950 12.502 11.183
Bi 3.950 15.179 4.204
```

ΔH_f (0 K) in eV/atom: -0.38
Volume in Å³/cell: 988.5
D(E_F) in states/eV per cell: 11.0
Total energy in eV per cell: -96.0

This record from the Alexandria database describes crystalline Ba3In2Bi4 at its relaxed geometry. The functional is PBE. Values from VASP.

```
&SYSTEM
  ibrav = 0, nat = 9, ntyp = 3
/
ATOMIC_SPECIES
Ba 137.33 Ba.upf
In 114.82 In.upf
Bi 208.98 Bi.upf
CELL_PARAMETERS angstrom
4.989 0.000 0.000
-0.001 8.392 0.000
-2.491 -2.841 8.574
ATOMIC_POSITIONS angstrom
Ba 0.000 0.000 0.000
Ba 0.000 4.040 2.293
Ba 2.497 1.511 6.281
In 0.001 -1.798 5.713
In 2.496 7.349 2.862
Bi 0.003 0.584 3.662
Bi 0.002 -0.248 8.334
Bi 2.495 5.799 0.241
Bi 2.494 4.967 4.913
```

ΔH_f (0 K) in eV/atom: -0.63
Volume in Å³/cell: 359.0
D(E_F) in states/eV per cell: 2.7
Total energy in eV per cell: -32.4

This record from the Alexandria database describes crystalline Ba2In2Bi at its relaxed geometry. The functional is PBE. Values from VASP.

```
&SYSTEM
  ibrav = 0, nat = 10, ntyp = 3
/
ATOMIC_SPECIES
Ba 137.33 Ba.upf
In 114.82 In.upf
Bi 208.98 Bi.upf
CELL_PARAMETERS angstrom
5.736 0.000 0.000
0.000 5.736 0.000
0.000 0.000 13.095
ATOMIC_POSITIONS angstrom
Ba 0.000 2.868 3.274
Ba 0.000 2.868 9.821
Ba 2.868 0.000 3.274
Ba 2.868 0.000 9.821
In 0.000 0.000 1.325
In 0.000 0.000 11.770
In 2.868 2.868 5.222
In 2.868 2.868 7.873
Bi 0.000 0.000 6.547
Bi 2.868 2.868 0.000
```

ΔH_f (0 K) in eV/atom: -0.04
Volume in Å³/cell: 430.9
D(E_F) in states/eV per cell: 6.5
Total energy in eV per cell: -26.9